{
  "formula": "Sb2PPb",
  "functional": "GGA-PBE",
  "state": "optimized geometry",
  "lattice_angstrom": [[-2.1726, 2.1726, 5.5801], [2.1726, -2.1726, 5.5801], [2.1726, 2.1726, -5.5801]],
  "species": ["Sb", "Sb", "P", "Pb"],
  "fractional_positions": [[0.2500, 0.7500, 0.5000], [0.7500, 0.2500, 0.5000], [0.0000, 0.0000, 0.0000], [0.5000, 0.5000, 0.0000]],
  "m_tot_mub_per_atom": 0.000,
  "sg": "No. 139",
  "volume_a3_per_cell": 105,
  "final_energy_ev_per_cell": -15.83
}

***

{
  "formula": "Sb2PPb",
  "functional": "GGA-PBE",
  "state": "optimized geometry",
  "lattice_angstrom": [[4.2294, 0.0000, 0.0000], [0.0000, 4.2294, 0.0000], [0.0000, 0.0000, 6.5678]],
  "species": ["Sb", "Sb", "P", "Pb"],
  "fractional_positions": [[0.0000, 0.0000, 0.0000], [0.5000, 0.5000, 0.1066], [0.5000, 0.5000, 0.4846], [0.0000, 0.0000, 0.5182]],
  "m_tot_mub_per_atom": 0.000,
  "sg": "No. 99",
  "volume_a3_per_cell": 117,
  "final_energy_ev_per_cell": -17.04
}